1.
This record from Alexandria via LeMat-Bulk describes Y2P2F after structural relaxation. The functional is PBEsol.

```
data_Y2P2F
_chemical_formula_sum 'Y4 P4 F2'
_space_group_name_H-M_alt 'I 4/m m m'
_space_group_IT_number 139
_space_group_name_Hall '-I 4 2'
_cell_length_a 5.096
_cell_length_b 5.096
_cell_length_c 8.289
_cell_angle_alpha 90.00
_cell_angle_beta 90.00
_cell_angle_gamma 90.00
loop_
_atom_site_label
_atom_site_type_symbol
_atom_site_fract_x
_atom_site_fract_y
_atom_site_fract_z
Y1 Y 0.000 0.500 0.250
P1 P 0.000 0.000 0.133
F1 F 0.000 0.000 0.500
```

=====

2.
This record from Alexandria via LeMat-Bulk describes YPF2 after structural relaxation. The functional is PBEsol.

```
data_YPF2
_chemical_formula_sum 'Y4 P4 F8'
_space_group_name_H-M_alt 'I -4 2 d'
_space_group_IT_number 122
_space_group_name_Hall 'I -4 2bw'
_cell_length_a 4.011
_cell_length_b 4.011
_cell_length_c 15.449
_cell_angle_alpha 90.00
_cell_angle_beta 90.00
_cell_angle_gamma 90.00
loop_
_atom_site_label
_atom_site_type_symbol
_atom_site_fract_x
_atom_site_fract_y
_atom_site_fract_z
Y1 Y 0.000 0.000 0.000
P1 P 0.000 0.000 0.500
F1 F 0.209 0.250 0.125
```

=====

3.
This record from Alexandria via LeMat-Bulk describes ZnPF2 after structural relaxation. The functional is PBEsol.

```
data_ZnPF2
_chemical_formula_sum 'Zn4 P4 F8'
_space_group_name_H-M_alt 'I -4 2 d'
_space_group_IT_number 122
_space_group_name_Hall 'I -4 2bw'
_cell_length_a 6.227
_cell_length_b 6.227
_cell_length_c 5.998
_cell_angle_alpha 90.00
_cell_angle_beta 90.00
_cell_angle_gamma 90.00
loop_
_atom_site_label
_atom_site_type_symbol
_atom_site_fract_x
_atom_site_fract_y
_atom_site_fract_z
Zn1 Zn 0.000 0.000 0.000
P1 P 0.000 0.000 0.500
F1 F 0.138 0.250 0.125
```

=====

4.
This record from Alexandria via LeMat-Bulk describes Zr3PF after structural relaxation. The functional is PBEsol.

```
data_Zr3PF
_chemical_formula_sum 'Zr3 P1 F1'
_space_group_name_H-M_alt 'P m -3 m'
_space_group_IT_number 221
_space_group_name_Hall '-P 4 2 3'
_cell_length_a 4.850
_cell_length_b 4.850
_cell_length_c 4.850
_cell_angle_alpha 90.00
_cell_angle_beta 90.00
_cell_angle_gamma 90.00
loop_
_atom_site_label
_atom_site_type_symbol
_atom_site_fract_x
_atom_site_fract_y
_atom_site_fract_z
Zr1 Zr 0.000 0.000 0.500
P1 P 0.000 0.000 0.000
F1 F 0.500 0.500 0.500
```

=====

5.
# PBEsol ZrPF2, relaxed
data_ZrPF2
_chemical_formula_sum 'Zr3 P3 F6'
_space_group_name_H-M_alt 'R -3 m'
_space_group_IT_number 166
_space_group_name_Hall '-R 3 2"'
_cell_length_a 3.6876
_cell_length_b 3.6876
_cell_length_c 14.3414
_cell_angle_alpha 90.00
_cell_angle_beta 90.00
_cell_angle_gamma 120.00
loop_
_atom_site_label
_atom_site_type_symbol
_atom_site_fract_x
_atom_site_fract_y
_atom_site_fract_z
Zr1 Zr 0.0000 0.0000 0.0000
P1 P 0.0000 0.0000 0.5000
F1 F 0.0000 0.0000 0.2998
# energy relative to the lowest polymorph listed for this composition	0.100	eV per atom

=====

6.
# PBEsol ZrPF2, relaxed
data_ZrPF2
_chemical_formula_sum 'Zr4 P4 F8'
_space_group_name_H-M_alt 'I -4 2 d'
_space_group_IT_number 122
_space_group_name_Hall 'I -4 2bw'
_cell_length_a 3.852
_cell_length_b 3.852
_cell_length_c 15.101
_cell_angle_alpha 90.00
_cell_angle_beta 90.00
_cell_angle_gamma 90.00
loop_
_atom_site_label
_atom_site_type_symbol
_atom_site_fract_x
_atom_site_fract_y
_atom_site_fract_z
Zr1 Zr 0.000 0.000 0.000
P1 P 0.000 0.000 0.500
F1 F 0.162 0.250 0.125
# energy relative to the lowest polymorph listed for this composition	0.000	eV per atom

=====

7.
This record from Alexandria via LeMat-Bulk describes RbPaF6 after structural relaxation. The functional is PBEsol.

```
data_RbPaF6
_chemical_formula_sum 'Rb4 Pa4 F24'
_space_group_name_H-M_alt 'C m m e'
_space_group_IT_number 67
_space_group_name_Hall '-C 2a 2'
_cell_length_a 7.933
_cell_length_b 11.375
_cell_length_c 6.947
_cell_angle_alpha 90.00
_cell_angle_beta 90.00
_cell_angle_gamma 90.00
loop_
_atom_site_label
_atom_site_type_symbol
_atom_site_fract_x
_atom_site_fract_y
_atom_site_fract_z
Rb1 Rb 0.000 0.250 0.004
Pa1 Pa 0.250 0.250 0.500
F1 F 0.000 0.146 0.491
F2 F 0.244 0.140 0.745
```

=====

8.
This record from Alexandria via LeMat-Bulk describes PbF4 after structural relaxation. The functional is PBEsol.

```
data_PbF4
_chemical_formula_sum 'Pb2 F8'
_space_group_name_H-M_alt 'I 4/m m m'
_space_group_IT_number 139
_space_group_name_Hall '-I 4 2'
_cell_length_a 4.303
_cell_length_b 4.303
_cell_length_c 8.114
_cell_angle_alpha 90.00
_cell_angle_beta 90.00
_cell_angle_gamma 90.00
loop_
_atom_site_label
_atom_site_type_symbol
_atom_site_fract_x
_atom_site_fract_y
_atom_site_fract_z
Pb1 Pb 0.000 0.000 0.000
F1 F 0.000 0.000 0.244
F2 F 0.000 0.500 0.000
```

=====

Which density belongs to each record? In order, 4.0, 4.2, 3.8, 4.7, 4.7, 4.7, 4.6, 6.3 g/cm3.
Which formation energy from raw total energies belongs to each record? In order, -1.3729, -2.1474, -0.7340, -0.1083, -1.8107, -1.9105, -3.5573, -1.8414 eV/atom.
Which total moment belongs to each record? In order, 0.00, 0.00, 0.00, 0.00, 0.00, 0.66, 0.00, 0.02 μB/f.u..